The following is a PBE calculation of a geometry-optimized MnInSn structure, from Alexandria via LeMat-Bulk.

Cell lengths 6.5204, 6.5204, 6.5204 Å; angles 90.00, 90.00, 90.00 degrees
Space group F-43m (No. 216)
Inequivalent atoms, fractional coordinates:
Mn: 0.0000 0.0000 0.0000 (multiplicity 4)
In: 0.2500 0.2500 0.2500 (multiplicity 4)
Sn: 0.2500 0.2500 0.7500 (multiplicity 4)

Magnetization in μB per formula unit: 3.59
E_form in eV per formula unit: 0.44
Uncorrected energy in Ha/atom: -0.1895
DOS at the Fermi energy in states/eV/cell: 8.0